{
  "formula": "Ho2Ga9Ag",
  "functional": "PBE",
  "state": "relaxed",
  "cell": [[-1.6882, 0.1642, 3.9167], [-2.4472, -3.3756, -0.9133], [8.9681, -7.6340, 4.1854]],
  "species": ["Ga", "Ga", "Ga", "Ga", "Ga", "Ga", "Ga", "Ga", "Ga", "Ho", "Ho", "Ag"],
  "fractional_positions": [[0.5000, 0.0000, 0.5000], [0.0000, 0.5000, 0.1533], [0.5000, 0.5000, 0.3397], [0.0000, 0.5000, 0.5000], [0.5000, 0.5000, 0.6603], [0.0000, 0.5000, 0.8467], [0.5000, 0.5000, 0.0000], [0.5000, 0.0000, 0.8467], [0.5000, 0.0000, 0.1533], [0.0000, 0.0000, 0.6720], [0.0000, 0.0000, 0.3280], [0.0000, 0.0000, 0.0000]],
  "ef_ev_per_fu": -3.87,
  "energy_ev_per_atom": -3.5933,
  "crystal_system": "tetragonal"
}

{
  "formula": "SrAlTc",
  "functional": "PBE",
  "state": "relaxed",
  "cell": [[5.0207, 0.0000, 0.0000], [2.5104, 4.3481, 0.0000], [2.5104, 1.4494, 4.0994]],
  "species": ["Tc", "Al", "Sr"],
  "fractional_positions": [[0.0000, 0.0000, 0.0000], [0.5000, 0.5000, 0.5000], [0.7500, 0.7500, 0.7500]],
  "ef_ev_per_fu": 4.69,
  "polymorph_energy_mev_per_atom": 1426.8,
  "energy_ev_per_atom": -3.6996,
  "crystal_system": "cubic"
}